# Er2CdGa4Cu3 (PBE, relaxed)
# mass density	8.4	g/cm³
# formation energy	-0.3749	eV/atom
# space-group type	P-4m2, No. 115
data_Er2CdGa4Cu3
_symmetry_space_group_name_H-M 'P 1'
_symmetry_Int_Tables_number 1
_symmetry_space_group_name_Hall 'P 1'
_cell_length_a 4.094
_cell_length_b 4.094
_cell_length_c 10.768
_cell_angle_alpha 90.00
_cell_angle_beta 90.00
_cell_angle_gamma 90.00
loop_
_atom_site_label
_atom_site_type_symbol
_atom_site_fract_x
_atom_site_fract_y
_atom_site_fract_z
Ga1 Ga 0.500 0.500 0.000
Cu1 Cu 0.500 0.000 0.871
Ga2 Ga 0.000 0.500 0.346
Cd1 Cd 0.500 0.500 0.500
Ga3 Ga 0.500 0.000 0.654
Er1 Er 0.500 0.000 0.236
Cu2 Cu 0.000 0.500 0.129
Cu3 Cu 0.000 0.000 0.500
Ga4 Ga 0.000 0.000 0.000
Er2 Er 0.000 0.500 0.764

# ErCdCuHg (PBE, relaxed)
# mass density	11.0	g/cm³
# formation energy	-0.2549	eV/atom
# space-group type	F-43m, No. 216
data_ErCdCuHg
_symmetry_space_group_name_H-M 'P 1'
_symmetry_Int_Tables_number 1
_symmetry_space_group_name_Hall 'P 1'
_cell_length_a 4.880
_cell_length_b 4.880
_cell_length_c 4.880
_cell_angle_alpha 60.00
_cell_angle_beta 60.00
_cell_angle_gamma 60.00
loop_
_atom_site_label
_atom_site_type_symbol
_atom_site_fract_x
_atom_site_fract_y
_atom_site_fract_z
Er1 Er 0.250 0.250 0.250
Cd1 Cd 0.750 0.750 0.750
Cu1 Cu 0.000 0.000 0.000
Hg1 Hg 0.500 0.500 0.500

# HoErCdCu (PBE, relaxed)
# mass density	9.1	g/cm³
# formation energy	-0.2854	eV/atom
# space-group type	P4mm, No. 99
# E above lowest polymorph	0	meV per atom
data_HoErCdCu
_symmetry_space_group_name_H-M 'P 1'
_symmetry_Int_Tables_number 1
_symmetry_space_group_name_Hall 'P 1'
_cell_length_a 3.481
_cell_length_b 3.481
_cell_length_c 7.626
_cell_angle_alpha 90.00
_cell_angle_beta 90.00
_cell_angle_gamma 90.00
loop_
_atom_site_label
_atom_site_type_symbol
_atom_site_fract_x
_atom_site_fract_y
_atom_site_fract_z
Ho1 Ho 0.000 0.000 0.828
Cd1 Cd 0.500 0.500 0.109
Cu1 Cu 0.500 0.500 0.605
Er1 Er 0.000 0.000 0.387